# 1
First-principles (PBE) data for crystalline NpPa2Ga6 at its relaxed geometry, as listed in the Alexandria database.

Structure (POSCAR):
```
NpPa2Ga6
1.0
4.047 -7.009 0.000
4.047 7.009 0.000
0.000 0.000 3.066
Ga Np Pa
6 1 2
direct
0.670 0.670 0.500
0.330 0.330 0.500
0.000 0.330 0.500
0.670 0.000 0.500
0.330 0.000 0.500
0.000 0.670 0.500
0.000 0.000 0.000
0.333 0.667 0.000
0.667 0.333 0.000
```

Properties
- Fermi-level density of states (states/eV per cell) = 17.17
- ΔE_f (eV/atom) = -0.16
- space group = P6/mmm
- total magnetic moment (μB per cell) = 0.6

=====

# 2
First-principles (PBE) data for crystalline NpPaGaRe at its relaxed geometry, as listed in the Alexandria database.

Structure (POSCAR):
```
NpPaGaRe
1.0
4.773 0.000 0.000
2.386 4.133 0.000
2.386 1.378 3.897
Np Re Pa Ga
1 1 1 1
direct
0.000 0.000 0.000
0.500 0.500 0.500
0.750 0.750 0.750
0.250 0.250 0.250
```

Properties
- Fermi-level density of states (states/eV per cell) = 5.79
- ΔE_f (eV/atom) = 0.04
- space group = F-43m
- total magnetic moment (μB per cell) = 4.1

=====

# 3
First-principles (PBE) data for crystalline NpPaGaRu at its relaxed geometry, as listed in the Alexandria database.

Structure (POSCAR):
```
NpPaGaRu
1.0
4.762 0.000 0.000
2.381 4.124 0.000
2.381 1.375 3.888
Ga Np Pa Ru
1 1 1 1
direct
0.250 0.250 0.250
0.000 0.000 0.000
0.750 0.750 0.750
0.500 0.500 0.500
```

Properties
- Fermi-level density of states (states/eV per cell) = 4.33
- ΔE_f (eV/atom) = -0.17
- space group = F-43m
- total magnetic moment (μB per cell) = 5.0

=====

# 4
First-principles (PBE) data for crystalline NpPaGaSn at its relaxed geometry, as listed in the Alexandria database.

Structure (POSCAR):
```
NpPaGaSn
1.0
5.095 0.000 0.000
2.547 4.412 0.000
2.547 1.471 4.160
Ga Sn Pa Np
1 1 1 1
direct
0.500 0.500 0.500
0.250 0.250 0.250
0.750 0.750 0.750
0.000 0.000 0.000
```

Properties
- Fermi-level density of states (states/eV per cell) = 11.87
- ΔE_f (eV/atom) = 0.29
- space group = F-43m
- total magnetic moment (μB per cell) = 6.4

=====

# 5
First-principles (PBE) data for crystalline NpPaGaTc at its relaxed geometry, as listed in the Alexandria database.

Structure (POSCAR):
```
NpPaGaTc
1.0
-2.400 -4.112 -0.008
-0.319 -2.562 -4.000
2.346 -4.126 -0.378
Tc Np Ga Pa
1 1 1 1
direct
0.750 0.750 0.750
0.250 0.250 0.250
0.500 0.500 0.500
0.000 0.000 0.000
```

Properties
- Fermi-level density of states (states/eV per cell) = 5.77
- ΔE_f (eV/atom) = -0.09
- space group = F-43m
- total magnetic moment (μB per cell) = 4.1

=====

# 6
First-principles (PBE) data for crystalline NpUPaGa at its relaxed geometry, as listed in the Alexandria database.

Structure (POSCAR):
```
NpUPaGa
1.0
4.871 0.000 0.000
2.436 4.218 0.000
2.436 1.406 3.977
Pa Ga Np U
1 1 1 1
direct
0.750 0.750 0.750
0.500 0.500 0.500
0.250 0.250 0.250
0.000 0.000 0.000
```

Properties
- Fermi-level density of states (states/eV per cell) = 13.56
- ΔE_f (eV/atom) = 0.16
- space group = F-43m
- total magnetic moment (μB per cell) = 3.3

=====

# 7
First-principles (PBE) data for crystalline ZrNpPaGa at its relaxed geometry, as listed in the Alexandria database.

Structure (POSCAR):
```
ZrNpPaGa
1.0
-1.888 4.465 -1.093
-4.855 0.481 -0.943
-2.946 2.318 3.262
Zr Pa Np Ga
1 1 1 1
direct
0.500 0.500 0.500
0.000 0.000 0.000
0.250 0.250 0.250
0.750 0.750 0.750
```

Properties
- Fermi-level density of states (states/eV per cell) = 11.67
- ΔE_f (eV/atom) = 0.07
- space group = F-43m
- total magnetic moment (μB per cell) = 5.6

=====

# 8
First-principles (PBE) data for crystalline NpGa2Pb at its relaxed geometry, as listed in the Alexandria database.

Structure (POSCAR):
```
NpGa2Pb
1.0
4.280 0.000 0.000
0.000 4.566 0.000
0.000 0.000 4.566
Ga Pb Np
2 1 1
direct
0.000 0.500 0.000
0.000 0.000 0.500
0.500 0.500 0.500
0.500 0.000 0.000
```

Properties
- Fermi-level density of states (states/eV per cell) = 8.66
- ΔE_f (eV/atom) = -0.04
- space group = P4/mmm
- energy relative to the lowest polymorph listed for this composition (meV/atom) = 0.0
- total magnetic moment (μB per cell) = 4.1